NaLi2BeSb | Alexandria via LeMat-Bulk | PBE | optimized geometry; total energy = -1.975 eV per atom; symmetry = P4/mmm (123); total magnetization = 0.00 μB per formula unit
1.0
-1.267 -0.890 -4.368
2.402 -4.101 0.139
-3.794 -2.169 1.542
Sb Na Li Be
1 1 2 1
direct
0.500 0.500 0.500
0.000 0.000 0.000
0.000 0.000 0.500
0.500 0.000 0.000
0.000 0.500 0.000